1.
VASP calculation (PBE) on a relaxed Pa6HgSe12 crystal.

Lattice parameters (Å, degrees): 13.0577 13.0577 11.0563 90.00 90.00 120.00
Space group R-3 (No. 148, hexagonal axes)
Unique sites:
Pa 0.0483 0.7832 0.1489
Hg 0.0000 0.0000 0.5000
Se 0.0366 0.8238 0.8854
Se 0.0488 0.8230 0.4000

## Properties
- E_form (uncorrected): -1.1592 eV per atom



2.
VASP calculation (PBE) on a relaxed Ta4IrSe crystal.

Lattice parameters (Å, degrees): 7.650 7.650 7.650 90.00 90.00 90.00
Space group F-43m (No. 216)
Unique sites:
Ta 0.125 0.125 0.125
Ir 0.250 0.250 0.750
Se 0.000 0.000 0.500

## Properties
- E_form (uncorrected): 0.5478 eV per atom



3.
VASP calculation (PBE) on a relaxed K4Hf3AgTe8 crystal.

Lattice parameters (Å, degrees): 8.5879 8.5879 24.5191 90.00 90.00 120.00
Space group R-3m (No. 166, hexagonal axes)
Unique sites:
K 0.0000 0.0000 0.0000
K 0.0000 0.5000 0.0000
Hf 0.0000 0.5000 0.5000
Ag 0.0000 0.0000 0.5000
Te 0.0000 0.0000 0.2335
Te 0.0105 0.5053 0.7678

## Properties
- E_form (uncorrected): -0.8236 eV per atom



4.
VASP calculation (PBE) on a relaxed CeDyAlTl crystal.

Lattice parameters (Å, degrees): 7.514 7.514 7.514 90.00 90.00 90.00
Space group F-43m (No. 216)
Unique sites:
Ce 0.000 0.000 0.000
Dy 0.000 0.000 0.500
Al 0.250 0.250 0.750
Tl 0.250 0.250 0.250

## Properties
- DFT formation energy: -269 meV/atom



5.
VASP calculation (PBE) on a relaxed K2FeC crystal.

Lattice parameters (Å, degrees): 11.723 11.723 3.738 90.00 90.00 90.00
Space group I-42d (No. 122)
Unique sites:
K 0.039 0.250 0.125
Fe 0.000 0.000 0.500
C 0.000 0.000 0.000

## Properties
- DFT formation energy: 714 meV/atom



6.
VASP calculation (PBE) on a relaxed BeGeS3 crystal.

Lattice parameters (Å, degrees): 12.160 3.507 12.046 90.00 95.87 90.00
Space group C2/m (No. 12)
Unique sites:
Be 0.162 0.000 0.321
Ge 0.101 0.500 0.770
S 0.086 0.500 0.280
S 0.135 0.000 0.887
S 0.180 0.500 0.615

## Properties
- Offset from the most stable computed form: 0.000 eV/atom
- E_form (uncorrected): -0.4739 eV per atom



no.,calculated volume (Å³ per atom)
1,28.64
2,18.65
3,32.63
4,26.51
5,32.11
6,25.55